VASP calculation (GGA-PBE) on a relaxed structure of Tl4Cr2Pd.

## Properties
Calculated formation energy, eV per atom: 0.568
Total energy, eV/cell: -59.85

Lattice parameters (Å, degrees): 5.2818 5.2818 13.9533 90.00 90.00 90.00
With the nearest neighbours (Å) after each atom.
Space group I4/mmm (No. 139)
Symmetry-distinct sites (fractional):
Tl 0.0000 0.0000 0.1985 [4 per cell]  1 Pd 2.77, 1 Cr 2.78
Tl 0.0000 0.5000 0.0000 [4 per cell]  2 Pd 2.64
Cr 0.0000 0.0000 0.3976 [4 per cell]  5 Tl 2.78-3.00, 1 Cr 2.86
Pd 0.0000 0.0000 0.0000 [2 per cell]  6 Tl 2.64-2.77

VASP calculation (GGA-PBE) on a relaxed structure of CrAg2Ir.

## Properties
Calculated formation energy, eV per atom: 0.656
Offset from the most stable computed form, meV/atom: 463.7
Total energy, eV/cell: -21.56

Lattice parameters (Å, degrees): 2.6672 2.6672 8.6596 90.00 90.00 90.00
With the nearest neighbours (Å) after each atom.
Space group P4/mmm (No. 123)
Symmetry-distinct sites (fractional):
Cr 0.0000 0.0000 0.0000 [1 per cell]  4 Cr 2.67, 8 Ag 2.83
Ag 0.5000 0.5000 0.2433 [2 per cell]  4 Ag 2.67, 4 Cr 2.83, 4 Ir 2.92
Ir 0.0000 0.0000 0.5000 [1 per cell]  4 Ir 2.67, 8 Ag 2.92

VASP calculation (GGA-PBE) on a relaxed structure of ScPa2NbN6.

## Properties
Formation energy without anion corrections, eV/atom: -1.448
Total energy, eV/cell: -299.49

Lattice parameters (Å, degrees): 5.7057 5.7057 14.5036 90.00 90.00 120.00
With the nearest neighbours (Å) after each atom.
Space group R3 (No. 146, hexagonal axes)
Symmetry-distinct sites (fractional):
Sc 0.0000 0.0000 0.0000 [3 per cell]  6 N 2.15-2.35
Pa 0.0000 0.0000 0.2813 [3 per cell]  6 N 2.27-2.35
Pa 0.0000 0.0000 0.7771 [3 per cell]  6 N 2.26-2.35
Nb 0.0000 0.0000 0.5005 [3 per cell]  3 N 2.01
N 0.0562 0.6835 0.0566 [9 per cell]  1 Sc 2.15, 2 Pa 2.26-2.27, 1 Nb 2.29
N 0.0583 0.3484 0.5555 [9 per cell]  1 Nb 2.01

VASP calculation (GGA-PBE) on a relaxed structure of Co3B2W2.

## Properties
Calculated formation energy, eV per atom: -0.150
Total energy, eV/cell: -123.26

Lattice parameters (Å, degrees): 2.9924 15.7439 3.1911 90.00 90.00 90.00
With the nearest neighbours (Å) after each atom.
Space group Cmmm (No. 65)
Symmetry-distinct sites (fractional):
Co 0.0000 0.0000 0.0000 [2 per cell]  8 Co 2.49, 2 W 2.69
Co 0.0000 0.4244 0.5000 [4 per cell]  1 B 2.25, 5 Co 2.38-2.49
B 0.0000 0.2813 0.5000 [4 per cell]  2 B 1.79
W 0.0000 0.1706 0.0000 [4 per cell]  6 B 2.31-2.36

VASP calculation (GGA-PBE) on a relaxed structure of Mo2P.

## Properties
Calculated formation energy, eV per atom: -0.384
Offset from the most stable computed form, meV/atom: 0.0
Total energy, eV/cell: -112.89

Lattice parameters (Å, degrees): 7.1076 3.1579 7.7831 90.00 90.00 90.00
With the nearest neighbours (Å) after each atom.
Space group Pnma (No. 62)
Symmetry-distinct sites (fractional):
Mo 0.0104 0.2500 0.1554 [4 per cell]  4 P 2.57-2.59
Mo 0.1567 0.2500 0.5458 [4 per cell]  3 P 2.35-2.37
P 0.2223 0.7500 0.3302 [4 per cell]  7 Mo 2.35-2.59

VASP calculation (GGA-PBE) on a relaxed structure of YHg.

## Properties
Calculated formation energy, eV per atom: 0.319
Total energy, eV/cell: -24.52

Lattice parameters (Å, degrees): 6.7554 6.7554 6.7554 90.00 90.00 90.00
With the nearest neighbours (Å) after each atom.
Space group F-43m (No. 216)
Symmetry-distinct sites (fractional):
Y 0.0000 0.0000 0.0000 [4 per cell]  4 Hg 2.93
Hg 0.2500 0.2500 0.2500 [4 per cell]  4 Y 2.93

no.,M_tot (μB/f.u.)
1,8.56
2,0.00
3,0.00
4,3.62
5,0.00
6,0.00